Record 1
# YBSb3 PBE relaxed
data_YBSb3
_chemical_formula_sum 'Y1 B1 Sb3'
_space_group_name_H-M_alt 'P m -3 m'
_space_group_IT_number 221
_space_group_name_Hall '-P 4 2 3'
_cell_length_a 4.924
_cell_length_b 4.924
_cell_length_c 4.924
_cell_angle_alpha 90.00
_cell_angle_beta 90.00
_cell_angle_gamma 90.00
loop_
_atom_site_label
_atom_site_fract_x
_atom_site_fract_y
_atom_site_fract_z
Y1 0.000 0.000 0.000
B1 0.500 0.500 0.500
Sb1 0.000 0.500 0.500
# - E_form (uncorrected) (eV/atom) = 0.29

=====

Record 2
# Y2BSb PBE relaxed
data_Y2BSb
_chemical_formula_sum 'Y8 B4 Sb4'
_space_group_name_H-M_alt 'F m -3 m'
_space_group_IT_number 225
_space_group_name_Hall '-F 4 2 3'
_cell_length_a 7.154
_cell_length_b 7.154
_cell_length_c 7.154
_cell_angle_alpha 90.00
_cell_angle_beta 90.00
_cell_angle_gamma 90.00
loop_
_atom_site_label
_atom_site_fract_x
_atom_site_fract_y
_atom_site_fract_z
Y1 0.250 0.250 0.250
B1 0.000 0.000 0.000
Sb1 0.000 0.000 0.500
# - E_form (uncorrected) (eV/atom) = 0.02

=====

Record 3
# Y2BSb PBE relaxed
data_Y2BSb
_chemical_formula_sum 'Y8 B4 Sb4'
_space_group_name_H-M_alt 'I -4 2 d'
_space_group_IT_number 122
_space_group_name_Hall 'I -4 2bw'
_cell_length_a 7.525
_cell_length_b 7.525
_cell_length_c 6.823
_cell_angle_alpha 90.00
_cell_angle_beta 90.00
_cell_angle_gamma 90.00
loop_
_atom_site_label
_atom_site_fract_x
_atom_site_fract_y
_atom_site_fract_z
Y1 0.191 0.250 0.125
B1 0.000 0.000 0.000
Sb1 0.000 0.000 0.500
# - E_form (uncorrected) (eV/atom) = -0.22

=====

Record 4
# Y2BSb2 PBE relaxed
data_Y2BSb2
_chemical_formula_sum 'Y4 B2 Sb4'
_space_group_name_H-M_alt 'P 4/m b m'
_space_group_IT_number 127
_space_group_name_Hall '-P 4 2ab'
_cell_length_a 7.246
_cell_length_b 7.246
_cell_length_c 4.736
_cell_angle_alpha 90.00
_cell_angle_beta 90.00
_cell_angle_gamma 90.00
loop_
_atom_site_label
_atom_site_fract_x
_atom_site_fract_y
_atom_site_fract_z
Y1 0.180 0.320 0.000
B1 0.000 0.000 0.000
Sb1 0.139 0.639 0.500
# - E_form (uncorrected) (eV/atom) = -0.20

=====

Record 5
# YBSb3 PBE relaxed
data_YBSb3
_chemical_formula_sum 'Y1 B1 Sb3'
_space_group_name_H-M_alt 'P m -3 m'
_space_group_IT_number 221
_space_group_name_Hall '-P 4 2 3'
_cell_length_a 5.756
_cell_length_b 5.756
_cell_length_c 5.756
_cell_angle_alpha 90.00
_cell_angle_beta 90.00
_cell_angle_gamma 90.00
loop_
_atom_site_label
_atom_site_fract_x
_atom_site_fract_y
_atom_site_fract_z
Y1 0.000 0.000 0.000
B1 0.500 0.500 0.500
Sb1 0.000 0.000 0.500
# - E_form (uncorrected) (eV/atom) = 1.29

=====

Record 6
# Y2BSb2 PBE relaxed
data_Y2BSb2
_chemical_formula_sum 'Y4 B2 Sb4'
_space_group_name_H-M_alt 'I 4/m m m'
_space_group_IT_number 139
_space_group_name_Hall '-I 4 2'
_cell_length_a 4.015
_cell_length_b 4.015
_cell_length_c 16.271
_cell_angle_alpha 90.00
_cell_angle_beta 90.00
_cell_angle_gamma 90.00
loop_
_atom_site_label
_atom_site_fract_x
_atom_site_fract_y
_atom_site_fract_z
Y1 0.000 0.000 0.097
B1 0.000 0.000 0.500
Sb1 0.000 0.500 0.250
# - E_form (uncorrected) (eV/atom) = 0.25

=====

Record 7
# YB3Sb PBE relaxed
data_YB3Sb
_chemical_formula_sum 'Y1 B3 Sb1'
_space_group_name_H-M_alt 'P m -3 m'
_space_group_IT_number 221
_space_group_name_Hall '-P 4 2 3'
_cell_length_a 4.445
_cell_length_b 4.445
_cell_length_c 4.445
_cell_angle_alpha 90.00
_cell_angle_beta 90.00
_cell_angle_gamma 90.00
loop_
_atom_site_label
_atom_site_fract_x
_atom_site_fract_y
_atom_site_fract_z
Y1 0.000 0.000 0.000
B1 0.000 0.500 0.500
Sb1 0.500 0.500 0.500
# - E_form (uncorrected) (eV/atom) = 1.45

=====

Record 8
# YBSb PBE relaxed
data_YBSb
_chemical_formula_sum 'Y2 B2 Sb2'
_space_group_name_H-M_alt 'P -1'
_space_group_IT_number 2
_cell_length_a 3.210
_cell_length_b 3.635
_cell_length_c 11.048
_cell_angle_alpha 99.22
_cell_angle_beta 98.07
_cell_angle_gamma 90.26
loop_
_space_group_symop_operation_xyz
'x,y,z'
'-x,-y,-z'
loop_
_atom_site_label
_atom_site_fract_x
_atom_site_fract_y
_atom_site_fract_z
Y1 0.177 0.426 0.349
B1 0.261 0.011 0.523
Sb1 0.428 0.174 0.862
# - E_form (uncorrected) (eV/atom) = -0.45

=====

Record 9
# YB2Sb PBE relaxed
data_YB2Sb
_chemical_formula_sum 'Y4 B8 Sb4'
_space_group_name_H-M_alt 'I -4 2 d'
_space_group_IT_number 122
_space_group_name_Hall 'I -4 2bw'
_cell_length_a 6.549
_cell_length_b 6.549
_cell_length_c 6.602
_cell_angle_alpha 90.00
_cell_angle_beta 90.00
_cell_angle_gamma 90.00
loop_
_atom_site_label
_atom_site_fract_x
_atom_site_fract_y
_atom_site_fract_z
Y1 0.000 0.000 0.000
B1 0.211 0.250 0.625
Sb1 0.000 0.000 0.500
# - E_form (uncorrected) (eV/atom) = 0.50

=====

Record 10
# Y3BSb PBE relaxed
data_Y3BSb
_chemical_formula_sum 'Y3 B1 Sb1'
_space_group_name_H-M_alt 'P m -3 m'
_space_group_IT_number 221
_space_group_name_Hall '-P 4 2 3'
_cell_length_a 5.003
_cell_length_b 5.003
_cell_length_c 5.003
_cell_angle_alpha 90.00
_cell_angle_beta 90.00
_cell_angle_gamma 90.00
loop_
_atom_site_label
_atom_site_fract_x
_atom_site_fract_y
_atom_site_fract_z
Y1 0.000 0.000 0.500
B1 0.000 0.000 0.000
Sb1 0.500 0.500 0.500
# - E_form (uncorrected) (eV/atom) = -0.56

=====

Record 11
# ZnBSb2 PBE relaxed
data_ZnBSb2
_chemical_formula_sum 'Zn4 B4 Sb8'
_space_group_name_H-M_alt 'I -4 2 d'
_space_group_IT_number 122
_space_group_name_Hall 'I -4 2bw'
_cell_length_a 5.808
_cell_length_b 5.808
_cell_length_c 10.941
_cell_angle_alpha 90.00
_cell_angle_beta 90.00
_cell_angle_gamma 90.00
loop_
_atom_site_label
_atom_site_fract_x
_atom_site_fract_y
_atom_site_fract_z
Zn1 0.000 0.000 0.000
B1 0.000 0.000 0.500
Sb1 0.201 0.250 0.625
# - E_form (uncorrected) (eV/atom) = 0.29

=====

Record 12
# ZnBSb2 PBE relaxed
data_ZnBSb2
_chemical_formula_sum 'Zn4 B4 Sb8'
_space_group_name_H-M_alt 'F m -3 m'
_space_group_IT_number 225
_space_group_name_Hall '-F 4 2 3'
_cell_length_a 6.779
_cell_length_b 6.779
_cell_length_c 6.779
_cell_angle_alpha 90.00
_cell_angle_beta 90.00
_cell_angle_gamma 90.00
loop_
_atom_site_label
_atom_site_fract_x
_atom_site_fract_y
_atom_site_fract_z
Zn1 0.000 0.000 0.000
B1 0.000 0.000 0.500
Sb1 0.250 0.250 0.250
# - E_form (uncorrected) (eV/atom) = 0.95

=====

Record 13
# Zn3BSb PBE relaxed
data_Zn3BSb
_chemical_formula_sum 'Zn3 B1 Sb1'
_space_group_name_H-M_alt 'P m -3 m'
_space_group_IT_number 221
_space_group_name_Hall '-P 4 2 3'
_cell_length_a 4.379
_cell_length_b 4.379
_cell_length_c 4.379
_cell_angle_alpha 90.00
_cell_angle_beta 90.00
_cell_angle_gamma 90.00
loop_
_atom_site_label
_atom_site_fract_x
_atom_site_fract_y
_atom_site_fract_z
Zn1 0.000 0.000 0.500
B1 0.000 0.000 0.000
Sb1 0.500 0.500 0.500
# - E_form (uncorrected) (eV/atom) = 0.44

=====

Record 14
# Zn2BSb PBE relaxed
data_Zn2BSb
_chemical_formula_sum 'Zn8 B4 Sb4'
_space_group_name_H-M_alt 'F m -3 m'
_space_group_IT_number 225
_space_group_name_Hall '-F 4 2 3'
_cell_length_a 6.519
_cell_length_b 6.519
_cell_length_c 6.519
_cell_angle_alpha 90.00
_cell_angle_beta 90.00
_cell_angle_gamma 90.00
loop_
_atom_site_label
_atom_site_fract_x
_atom_site_fract_y
_atom_site_fract_z
Zn1 0.250 0.250 0.250
B1 0.000 0.000 0.000
Sb1 0.000 0.000 0.500
# - E_form (uncorrected) (eV/atom) = 0.98

=====

Record 15
# Zn3BSb PBE relaxed
data_Zn3BSb
_chemical_formula_sum 'Zn3 B1 Sb1'
_space_group_name_H-M_alt 'P m -3 m'
_space_group_IT_number 221
_space_group_name_Hall '-P 4 2 3'
_cell_length_a 5.226
_cell_length_b 5.226
_cell_length_c 5.226
_cell_angle_alpha 90.00
_cell_angle_beta 90.00
_cell_angle_gamma 90.00
loop_
_atom_site_label
_atom_site_fract_x
_atom_site_fract_y
_atom_site_fract_z
Zn1 0.000 0.000 0.500
B1 0.500 0.500 0.500
Sb1 0.000 0.000 0.000
# - E_form (uncorrected) (eV/atom) = 1.45

=====

Record 16
# Zn2BSb PBE relaxed
data_Zn2BSb
_chemical_formula_sum 'Zn8 B4 Sb4'
_space_group_name_H-M_alt 'I -4 2 d'
_space_group_IT_number 122
_space_group_name_Hall 'I -4 2bw'
_cell_length_a 4.461
_cell_length_b 4.461
_cell_length_c 14.334
_cell_angle_alpha 90.00
_cell_angle_beta 90.00
_cell_angle_gamma 90.00
loop_
_atom_site_label
_atom_site_fract_x
_atom_site_fract_y
_atom_site_fract_z
Zn1 0.130 0.250 0.125
B1 0.000 0.000 0.000
Sb1 0.000 0.000 0.500
# - E_form (uncorrected) (eV/atom) = 0.50

=====

Record 17
# ZrZnB2Sb PBE relaxed
data_ZrZnB2Sb
_chemical_formula_sum 'Zr1 Zn1 B2 Sb1'
_space_group_name_H-M_alt 'P 4/m m m'
_space_group_IT_number 123
_space_group_name_Hall '-P 4 2'
_cell_length_a 4.088
_cell_length_b 4.088
_cell_length_c 5.371
_cell_angle_alpha 90.00
_cell_angle_beta 90.00
_cell_angle_gamma 90.00
loop_
_atom_site_label
_atom_site_fract_x
_atom_site_fract_y
_atom_site_fract_z
Zr1 0.000 0.000 0.000
Zn1 0.500 0.500 0.500
B1 0.000 0.500 0.500
Sb1 0.500 0.500 0.000
# - E_form (uncorrected) (eV/atom) = 1.17

=====

Record 18
# ZrB3Sb PBE relaxed
data_ZrB3Sb
_chemical_formula_sum 'Zr1 B3 Sb1'
_space_group_name_H-M_alt 'P m -3 m'
_space_group_IT_number 221
_space_group_name_Hall '-P 4 2 3'
_cell_length_a 4.359
_cell_length_b 4.359
_cell_length_c 4.359
_cell_angle_alpha 90.00
_cell_angle_beta 90.00
_cell_angle_gamma 90.00
loop_
_atom_site_label
_atom_site_fract_x
_atom_site_fract_y
_atom_site_fract_z
Zr1 0.000 0.000 0.000
B1 0.000 0.500 0.500
Sb1 0.500 0.500 0.500
# - E_form (uncorrected) (eV/atom) = 1.81

=====

Record 19
# Zr2BSb PBE relaxed
data_Zr2BSb
_chemical_formula_sum 'Zr8 B4 Sb4'
_space_group_name_H-M_alt 'F m -3 m'
_space_group_IT_number 225
_space_group_name_Hall '-F 4 2 3'
_cell_length_a 6.720
_cell_length_b 6.720
_cell_length_c 6.720
_cell_angle_alpha 90.00
_cell_angle_beta 90.00
_cell_angle_gamma 90.00
loop_
_atom_site_label
_atom_site_fract_x
_atom_site_fract_y
_atom_site_fract_z
Zr1 0.250 0.250 0.250
B1 0.000 0.000 0.000
Sb1 0.000 0.000 0.500
# - E_form (uncorrected) (eV/atom) = 0.21

=====

Record 20
# ZrBSb3 PBE relaxed
data_ZrBSb3
_chemical_formula_sum 'Zr1 B1 Sb3'
_space_group_name_H-M_alt 'P m -3 m'
_space_group_IT_number 221
_space_group_name_Hall '-P 4 2 3'
_cell_length_a 4.820
_cell_length_b 4.820
_cell_length_c 4.820
_cell_angle_alpha 90.00
_cell_angle_beta 90.00
_cell_angle_gamma 90.00
loop_
_atom_site_label
_atom_site_fract_x
_atom_site_fract_y
_atom_site_fract_z
Zr1 0.000 0.000 0.000
B1 0.500 0.500 0.500
Sb1 0.000 0.500 0.500
# - E_form (uncorrected) (eV/atom) = 0.61

=====

Record 21
# Zr6BSb2 PBE relaxed
data_Zr6BSb2
_chemical_formula_sum 'Zr12 B2 Sb4'
_space_group_name_H-M_alt 'P 42/m n m'
_space_group_IT_number 136
_space_group_name_Hall '-P 4n 2n'
_cell_length_a 6.133
_cell_length_b 6.133
_cell_length_c 12.247
_cell_angle_alpha 90.00
_cell_angle_beta 90.00
_cell_angle_gamma 90.00
loop_
_atom_site_label
_atom_site_fract_x
_atom_site_fract_y
_atom_site_fract_z
Zr1 0.186 0.186 0.133
Zr2 0.229 0.229 0.500
B1 0.000 0.000 0.000
Sb1 0.000 0.000 0.327
# - E_form (uncorrected) (eV/atom) = -0.09

=====

Record 22
# ZrB3Sb PBE relaxed
data_ZrB3Sb
_chemical_formula_sum 'Zr1 B3 Sb1'
_space_group_name_H-M_alt 'P m -3 m'
_space_group_IT_number 221
_space_group_name_Hall '-P 4 2 3'
_cell_length_a 4.474
_cell_length_b 4.474
_cell_length_c 4.474
_cell_angle_alpha 90.00
_cell_angle_beta 90.00
_cell_angle_gamma 90.00
loop_
_atom_site_label
_atom_site_fract_x
_atom_site_fract_y
_atom_site_fract_z
Zr1 0.000 0.000 0.000
B1 0.000 0.000 0.500
Sb1 0.500 0.500 0.500
# - E_form (uncorrected) (eV/atom) = 1.64

=====

Record 23
# Zr2BSb PBE relaxed
data_Zr2BSb
_chemical_formula_sum 'Zr6 B3 Sb3'
_space_group_name_H-M_alt 'R -3 m'
_space_group_IT_number 166
_space_group_name_Hall '-R 3 2"'
_cell_length_a 3.5549
_cell_length_b 3.5549
_cell_length_c 21.2209
_cell_angle_alpha 90.00
_cell_angle_beta 90.00
_cell_angle_gamma 120.00
loop_
_atom_site_label
_atom_site_fract_x
_atom_site_fract_y
_atom_site_fract_z
Zr1 0.0000 0.0000 0.2273
B1 0.0000 0.0000 0.5000
Sb1 0.0000 0.0000 0.0000
# - E_form (uncorrected) (eV/atom) = -0.63

=====

Record 24
# ZrB2Sb PBE relaxed
data_ZrB2Sb
_chemical_formula_sum 'Zr4 B8 Sb4'
_space_group_name_H-M_alt 'I -4 2 d'
_space_group_IT_number 122
_space_group_name_Hall 'I -4 2bw'
_cell_length_a 6.194
_cell_length_b 6.194
_cell_length_c 6.611
_cell_angle_alpha 90.00
_cell_angle_beta 90.00
_cell_angle_gamma 90.00
loop_
_atom_site_label
_atom_site_fract_x
_atom_site_fract_y
_atom_site_fract_z
Zr1 0.000 0.000 0.000
B1 0.226 0.750 0.625
Sb1 0.000 0.000 0.500
# - E_form (uncorrected) (eV/atom) = 0.50

=====

Record 25
# ZrBSb3 PBE relaxed
data_ZrBSb3
_chemical_formula_sum 'Zr1 B1 Sb3'
_space_group_name_H-M_alt 'P m -3 m'
_space_group_IT_number 221
_space_group_name_Hall '-P 4 2 3'
_cell_length_a 5.527
_cell_length_b 5.527
_cell_length_c 5.527
_cell_angle_alpha 90.00
_cell_angle_beta 90.00
_cell_angle_gamma 90.00
loop_
_atom_site_label
_atom_site_fract_x
_atom_site_fract_y
_atom_site_fract_z
Zr1 0.000 0.000 0.000
B1 0.500 0.500 0.500
Sb1 0.000 0.000 0.500
# - E_form (uncorrected) (eV/atom) = 1.18

=====

Record 26
# Zr2BSb PBE relaxed
data_Zr2BSb
_chemical_formula_sum 'Zr8 B4 Sb4'
_space_group_name_H-M_alt 'I -4 2 d'
_space_group_IT_number 122
_space_group_name_Hall 'I -4 2bw'
_cell_length_a 7.106
_cell_length_b 7.106
_cell_length_c 6.193
_cell_angle_alpha 90.00
_cell_angle_beta 90.00
_cell_angle_gamma 90.00
loop_
_atom_site_label
_atom_site_fract_x
_atom_site_fract_y
_atom_site_fract_z
Zr1 0.196 0.250 0.125
B1 0.000 0.000 0.000
Sb1 0.000 0.000 0.500
# - E_form (uncorrected) (eV/atom) = -0.22

=====

Record 27
# Sc3B11 PBE relaxed
data_Sc3B11
_chemical_formula_sum 'Sc6 B22'
_space_group_name_H-M_alt 'I m m m'
_space_group_IT_number 71
_space_group_name_Hall '-I 2 2'
_cell_length_a 3.212
_cell_length_b 7.632
_cell_length_c 9.492
_cell_angle_alpha 90.00
_cell_angle_beta 90.00
_cell_angle_gamma 90.00
loop_
_atom_site_label
_atom_site_fract_x
_atom_site_fract_y
_atom_site_fract_z
Sc1 0.000 0.000 0.000
Sc2 0.000 0.000 0.327
B1 0.000 0.239 0.500
B2 0.000 0.256 0.161
B3 0.000 0.361 0.338
B4 0.000 0.500 0.000
# - raw total energy (eV/atom) = -6.62

=====

In the order shown, the computed calculated volume values come out to 23.880 22.881 24.148 24.868 38.142 26.235 17.570 20.989 17.695 25.047 23.070 19.467 16.796 17.318 28.545 17.832 17.949 16.560 18.970 22.391 25.592 17.911 19.354 15.851 33.773 19.543 8.310 A^3/atom.